No. 1
# GdDy2Ti (PBE, relaxed)
data_GdDy2Ti
_cell_length_a 4.7691
_cell_length_b 4.7966
_cell_length_c 4.7966
_cell_angle_alpha 90.00
_cell_angle_beta 90.00
_cell_angle_gamma 90.00
_space_group_name_H-M_alt 'P 1'
_space_group_IT_number 1
loop_
_space_group_symop_operation_xyz
'x,y,z'
loop_
_atom_site_label
_atom_site_type_symbol
_atom_site_fract_x
_atom_site_fract_y
_atom_site_fract_z
_atom_site_occupancy
Gd1 Gd 0.5000 0.0000 0.0000 1
Ti1 Ti 0.5000 0.5000 0.5000 1
Dy1 Dy 0.0000 0.0000 0.5000 1
Dy2 Dy 0.0000 0.5000 0.0000 1
# Formation enthalpy at 0 K, eV per atom: 0.20
# Energy above the most stable polymorph in this dataset, eV per atom: 0.0367
# Space group: P4/mmm

=====

No. 2
# Rb2TiHBr6 (PBE, relaxed)
data_Rb2TiHBr6
_cell_length_a 7.6520
_cell_length_b 7.6520
_cell_length_c 7.6592
_cell_angle_alpha 60.03
_cell_angle_beta 60.03
_cell_angle_gamma 90.00
_space_group_name_H-M_alt 'P 1'
_space_group_IT_number 1
loop_
_space_group_symop_operation_xyz
'x,y,z'
loop_
_atom_site_label
_atom_site_type_symbol
_atom_site_fract_x
_atom_site_fract_y
_atom_site_fract_z
_atom_site_occupancy
H1 H 0.5000 0.5000 0.0000 1
Br1 Br 0.2337 0.2337 0.5326 1
Br2 Br 0.7663 0.7663 0.4674 1
Br3 Br 0.2342 0.2342 0.0000 1
Br4 Br 0.7658 0.7658 0.0000 1
Br5 Br 0.7658 0.2342 0.0000 1
Br6 Br 0.2342 0.7658 0.0000 1
Rb1 Rb 0.7500 0.2500 0.5000 1
Rb2 Rb 0.2500 0.7500 0.5000 1
Ti1 Ti 0.0000 0.0000 0.0000 1
# Space group: I4/mmm

=====

No. 3
# ScCuMo2 (PBE, relaxed)
data_ScCuMo2
_cell_length_a 5.3772
_cell_length_b 5.3772
_cell_length_c 4.2496
_cell_angle_alpha 66.62
_cell_angle_beta 66.62
_cell_angle_gamma 35.81
_space_group_name_H-M_alt 'P 1'
_space_group_IT_number 1
loop_
_space_group_symop_operation_xyz
'x,y,z'
loop_
_atom_site_label
_atom_site_type_symbol
_atom_site_fract_x
_atom_site_fract_y
_atom_site_fract_z
_atom_site_occupancy
Cu1 Cu 0.2500 0.2500 0.2500 1
Mo1 Mo 0.9905 0.9905 0.0096 1
Mo2 Mo 0.5095 0.5095 0.4904 1
Sc1 Sc 0.7500 0.7500 0.7500 1
# Formation enthalpy at 0 K, eV per atom: 0.16
# Energy above the most stable polymorph in this dataset, eV per atom: 0.1189
# Space group: C2/m

=====

No. 4
# Cs4AuBrF (PBE, relaxed)
data_Cs4AuBrF
_cell_length_a 8.6093
_cell_length_b 8.8172
_cell_length_c 10.0265
_cell_angle_alpha 90.00
_cell_angle_beta 106.87
_cell_angle_gamma 90.00
_space_group_name_H-M_alt 'P 1'
_space_group_IT_number 1
loop_
_space_group_symop_operation_xyz
'x,y,z'
loop_
_atom_site_label
_atom_site_type_symbol
_atom_site_fract_x
_atom_site_fract_y
_atom_site_fract_z
_atom_site_occupancy
Cs1 Cs 0.9765 0.4847 0.7499 1
Cs2 Cs 0.0235 0.9847 0.2501 1
Cs3 Cs 0.0235 0.5153 0.2501 1
Cs4 Cs 0.9765 0.0153 0.7499 1
Cs5 Cs 0.4561 0.7500 0.1330 1
Cs6 Cs 0.5439 0.2500 0.8670 1
Cs7 Cs 0.4561 0.7500 0.6006 1
Cs8 Cs 0.5439 0.2500 0.3994 1
Au1 Au 0.7844 0.7500 0.9442 1
Au2 Au 0.2156 0.2500 0.0558 1
Br1 Br 0.8023 0.7500 0.4564 1
Br2 Br 0.1977 0.2500 0.5436 1
F1 F 0.2631 0.7500 0.3230 1
F2 F 0.7369 0.2500 0.6770 1
# Formation energy from raw total energies, meV/atom: -1308
# Space group: P2_1/m

=====

Density values, unit g cm⁻³, following the record order: 8.0, 3.7, 7.6, 3.8.
Electronic total energy values, unit eV per atom, following the record order: -7.60, -3.41, -7.86, -2.77.
N(E_F) values, unit states/eV/f.u., following the record order: 5.64, 0.00, 3.34, 3.59.